Record 1
This record from Alexandria describes an optimized crystal structure of SiHgRuI2. The functional is PBE.

Properties
ρ in g cm⁻³: 6.3
Excess energy over the best structure of this formula in the dataset in eV/atom: 0.0000
Raw formation energy in kJ/mol of formula units: 346

Cell lengths 5.741, 5.741, 4.659 Å; angles 90.00, 90.00, 90.00 degrees
Space group P4/mmm (No. 123)
Symmetry-distinct sites (fractional):
Si 0.000 0.000 0.000 x1
Hg 0.500 0.500 0.500 x1
Ru 0.000 0.000 0.500 x1
I 0.000 0.500 0.000 x2

=====

Record 2
This record from Alexandria describes an optimized crystal structure of Sm6HgRu2I3. The functional is PBE.

Properties
ρ in g cm⁻³: 7.5
Raw formation energy in kJ/mol of formula units: -796

Cell lengths 7.316, 12.632, 8.451 Å; angles 90.00, 106.68, 90.00 degrees
Space group C2/m (No. 12)
Symmetry-distinct sites (fractional):
Sm 0.196 0.000 0.188 x4
Sm 0.248 0.317 0.190 x8
Hg 0.000 0.500 0.000 x2
Ru 0.000 0.167 0.000 x4
I 0.000 0.000 0.500 x2
I 0.000 0.336 0.500 x4

=====

Record 3
This record from Alexandria describes an optimized crystal structure of HgTe2RuI. The functional is PBE.

Properties
ρ in g cm⁻³: 6.2
Excess energy over the best structure of this formula in the dataset in eV/atom: 0.9807
Raw formation energy in kJ/mol of formula units: 640

Cell lengths 5.594, 5.594, 5.855 Å; angles 90.00, 90.00, 90.00 degrees
Space group P4/mmm (No. 123)
Symmetry-distinct sites (fractional):
Hg 0.000 0.000 0.000 x1
Te 0.000 0.500 0.000 x2
Ru 0.500 0.500 0.500 x1
I 0.000 0.000 0.500 x1

=====

Record 4
This record from Alexandria describes an optimized crystal structure of HgTe2RuI. The functional is PBE.

Properties
ρ in g cm⁻³: 7.3
Excess energy over the best structure of this formula in the dataset in eV/atom: 0.0000
Raw formation energy in kJ/mol of formula units: 167

Cell lengths 5.170, 5.170, 5.788 Å; angles 90.00, 90.00, 90.00 degrees
Space group P4/mmm (No. 123)
Symmetry-distinct sites (fractional):
Hg 0.000 0.000 0.000 x1
Te 0.000 0.500 0.500 x2
Ru 0.500 0.500 0.500 x1
I 0.500 0.500 0.000 x1

=====

Number 1: M_tot 1.83 μB per formula unit. Number 2: M_tot 0.00 μB per formula unit. Number 3: M_tot 4.09 μB per formula unit. Number 4: M_tot 0.00 μB per formula unit.